1.
{
  "formula": "PmTmO",
  "functional": "PBE",
  "state": "relaxed",
  "lattice_angstrom": [[3.5222, 0.0000, 0.0000], [-1.7611, 3.0503, 0.0000], [0.0000, 0.0000, 5.9345]],
  "species": ["Pm", "Tm", "O"],
  "frac_coords": [[0.0000, 0.0000, 0.0000], [0.3333, 0.6667, 0.4676], [0.6667, 0.3333, 0.2773]],
  "relative_energy_mev_per_atom": 0,
  "final_energy_ev_per_atom": -6.499,
  "crystal_system": "trigonal"
}

2.
{
  "formula": "Pm3Tm5O12",
  "functional": "PBE",
  "state": "relaxed",
  "lattice_angstrom": [[-6.7401, 6.7401, 6.7401], [6.7401, -6.7401, 6.7401], [6.7401, 6.7401, -6.7401]],
  "species": ["Pm", "Pm", "Pm", "Pm", "Pm", "Pm", "Pm", "Pm", "Pm", "Pm", "Pm", "Pm", "Tm", "Tm", "Tm", "Tm", "Tm", "Tm", "Tm", "Tm", "Tm", "Tm", "Tm", "Tm", "Tm", "Tm", "Tm", "Tm", "Tm", "Tm", "Tm", "Tm", "O", "O", "O", "O", "O", "O", "O", "O", "O", "O", "O", "O", "O", "O", "O", "O", "O", "O", "O", "O", "O", "O", "O", "O", "O", "O", "O", "O", "O", "O", "O", "O", "O", "O", "O", "O", "O", "O", "O", "O", "O", "O", "O", "O", "O", "O", "O", "O"],
  "frac_coords": [[0.1250, 0.2500, 0.3750], [0.1250, 0.3750, 0.7500], [0.2500, 0.3750, 0.1250], [0.2500, 0.8750, 0.6250], [0.3750, 0.1250, 0.2500], [0.3750, 0.7500, 0.1250], [0.6250, 0.2500, 0.8750], [0.6250, 0.8750, 0.7500], [0.7500, 0.1250, 0.3750], [0.7500, 0.6250, 0.8750], [0.8750, 0.6250, 0.2500], [0.8750, 0.7500, 0.6250], [0.0000, 0.0000, 0.0000], [0.0000, 0.0000, 0.5000], [0.0000, 0.5000, 0.0000], [0.0000, 0.5000, 0.5000], [0.1250, 0.7500, 0.8750], [0.1250, 0.8750, 0.2500], [0.2500, 0.1250, 0.8750], [0.2500, 0.6250, 0.3750], [0.3750, 0.2500, 0.6250], [0.3750, 0.6250, 0.7500], [0.5000, 0.0000, 0.0000], [0.5000, 0.0000, 0.5000], [0.5000, 0.5000, 0.0000], [0.5000, 0.5000, 0.5000], [0.6250, 0.3750, 0.2500], [0.6250, 0.7500, 0.3750], [0.7500, 0.3750, 0.6250], [0.7500, 0.8750, 0.1250], [0.8750, 0.1250, 0.7500], [0.8750, 0.2500, 0.1250], [0.0398, 0.2150, 0.1293], [0.0398, 0.3248, 0.9105], [0.0857, 0.7150, 0.6752], [0.0857, 0.8707, 0.4105], [0.0895, 0.6293, 0.4143], [0.0895, 0.9602, 0.6752], [0.1293, 0.0398, 0.2150], [0.1293, 0.5895, 0.9143], [0.1752, 0.2150, 0.5857], [0.1752, 0.4602, 0.5895], [0.2150, 0.1293, 0.0398], [0.2150, 0.5857, 0.1752], [0.2850, 0.3248, 0.9143], [0.2850, 0.4602, 0.3707], [0.3248, 0.9105, 0.0398], [0.3248, 0.9143, 0.2850], [0.3707, 0.2850, 0.4602], [0.3707, 0.5857, 0.9105], [0.4105, 0.0857, 0.8707], [0.4105, 0.8248, 0.5398], [0.4143, 0.0895, 0.6293], [0.4143, 0.8248, 0.7850], [0.4602, 0.3707, 0.2850], [0.4602, 0.5895, 0.1752], [0.5398, 0.4105, 0.8248], [0.5398, 0.6293, 0.7150], [0.5857, 0.1752, 0.2150], [0.5857, 0.9105, 0.3707], [0.5895, 0.1752, 0.4602], [0.5895, 0.9143, 0.1293], [0.6293, 0.4143, 0.0895], [0.6293, 0.7150, 0.5398], [0.6752, 0.0857, 0.7150], [0.6752, 0.0895, 0.9602], [0.7150, 0.5398, 0.6293], [0.7150, 0.6752, 0.0857], [0.7850, 0.4143, 0.8248], [0.7850, 0.8707, 0.9602], [0.8248, 0.5398, 0.4105], [0.8248, 0.7850, 0.4143], [0.8707, 0.4105, 0.0857], [0.8707, 0.9602, 0.7850], [0.9105, 0.0398, 0.3248], [0.9105, 0.3707, 0.5857], [0.9143, 0.1293, 0.5895], [0.9143, 0.2850, 0.3248], [0.9602, 0.6752, 0.0895], [0.9602, 0.7850, 0.8707]],
  "final_energy_ev_per_atom": -8.226,
  "crystal_system": "cubic"
}

What is the formula in the first record?
PmTmO